Material: La6Pr2Tm3Mg
Method: DFT, PBE-GGA
State: relaxed

```
12
Lattice="-1.202 -6.190 0.258 0.987 2.795 -5.571 11.593 -1.063 2.714" Properties=species:S:1:pos:R:3 pbc="T T T"
Pr -0.472 -3.196 -1.684
La 8.589 -1.627 0.717
La 8.842 -1.859 -2.927
Pr 0.258 -0.198 -3.629
La 3.258 0.366 -1.594
Mg 0.000 0.000 0.000
La 8.121 -4.823 -1.005
Tm 5.689 -2.229 -1.300
Tm 4.959 -5.228 0.646
La 2.789 -2.831 -3.316
La 2.536 -2.598 0.328
Tm 6.420 0.770 -3.245
```

Output
As for the energy relative to the elements: 9 meV/atom. For the calculated total energy, the calculation gives -54.0 eV per cell. Its density is 6.7 g/cm3.